Sb2AsOs, relaxed, DFT PBE; Fermi-level density of states = 3.0 states/eV per cell; E_form (uncorrected) = 0.6921 eV/atom; E = -5.339 eV per atom
1.0
4.960 0.009 0.000
-0.996 4.859 0.000
0.000 0.000 3.312
Sb As Os
2 1 1
Cartesian
0.000 0.000 0.000
1.982 2.434 0.000
2.480 0.004 1.656
-0.498 2.429 1.656